## Sr2LiCl (meta-GGA SCAN)

Data for a PBEsol-optimized structure of Sr2LiCl.

a = 4.263 Å, b = 3.924 Å, c = 8.789 Å
α = 90.00°, β = 90.21°, γ = 90.00°
Sites, in units of the cell vectors:
Sr1 0.002 0.000 0.240
Sr2 0.998 0.000 0.760
Li1 0.500 0.500 0.000
Cl1 0.000 0.500 0.500

Calculated values
The calculation puts the energy relative to the elements, uncorrected at -343 kJ/mol of formula units. Its total magnetization is 0.5 Bohr magnetons per cell. The value obtained for the density of states at the Fermi level is 0.626 states/eV per atom. For the total energy, the calculation gives -14.618 eV/atom.